(1)
Crystalline SrZrRe2 at its relaxed geometry. Source: the Alexandria database, functional GGA-PBE.

Results
The density of states at the Fermi level comes out at 1.19 states/eV per atom. The size of the total moment comes out at 0.00 μB/f.u. The value obtained for the uncorrected energy is -0.5745 Ry/atom. The energy relative to the elements comes out at 0.965 eV/atom.

Cell and atoms, written as extended XYZ:
```
4
Lattice="3.224 0.000 0.000 0.000 4.833 0.000 0.000 0.000 4.900" Properties=species:S:1:pos:R:3 pbc="T T T"
Re 0.000 0.000 0.000
Re 1.612 2.416 0.000
Sr 1.612 0.000 2.450
Zr 0.000 2.416 2.450
```

***

(2)
Crystalline SrZr2Re at its relaxed geometry. Source: the Alexandria database, functional GGA-PBE.

Results
The density of states at the Fermi level comes out at 1.25 states/eV per atom. The size of the total moment comes out at 0.00 μB/f.u. The value obtained for the uncorrected energy is -0.5455 Ry/atom. The energy relative to the elements comes out at 0.385 eV/atom.

Cell and atoms, written as extended XYZ:
```
4
Lattice="-1.127 -5.820 1.305 2.385 -3.907 -3.987 1.059 4.310 4.141" Properties=species:S:1:pos:R:3 pbc="T T T"
Re 2.037 -2.231 -0.593
Sr 0.280 -3.187 2.053
Zr 0.064 -0.495 -0.136
Zr 0.565 -4.369 -1.205
```

***

(3)
Crystalline Sr2ZrRe at its relaxed geometry. Source: the Alexandria database, functional GGA-PBE.

Results
The density of states at the Fermi level comes out at 0.95 states/eV per atom. The size of the total moment comes out at 0.00 μB/f.u. The value obtained for the uncorrected energy is -0.4089 Ry/atom. The energy relative to the elements comes out at 0.527 eV/atom.

Cell and atoms, written as extended XYZ:
```
4
Lattice="-3.026 1.383 -3.496 -3.970 -1.901 -1.980 -6.594 3.968 4.488" Properties=species:S:1:pos:R:3 pbc="T T T"
Re -9.319 2.143 -1.160
Sr -6.577 3.589 3.678
Sr -3.905 1.208 0.185
Zr -7.178 2.204 0.303
```

***

(4)
Crystalline SrZr2Re at its relaxed geometry. Source: the Alexandria database, functional GGA-PBE.

Results
The density of states at the Fermi level comes out at 1.44 states/eV per atom. The size of the total moment comes out at 1.65 μB/f.u. The value obtained for the uncorrected energy is -0.5175 Ry/atom. The energy relative to the elements comes out at 0.766 eV/atom.

Cell and atoms, written as extended XYZ:
```
4
Lattice="5.044 0.000 0.000 2.522 4.368 0.000 2.522 1.456 4.118" Properties=species:S:1:pos:R:3 pbc="T T T"
Re 5.044 2.912 2.059
Sr 7.566 4.368 3.089
Zr 0.000 0.000 0.000
Zr 2.522 1.456 1.030
```